(1)
First-principles (PBE) data for a relaxed NdErHg crystal, as listed in Alexandria via LeMat-Bulk. Values from VASP.

## Properties
Energy relative to the lowest polymorph listed for this composition ... 0.00 eV per formula unit
Calculated formation energy ... -302 meV/atom
DOS(E_F) ... 3.54 states/eV/f.u.

Geometry as Quantum ESPRESSO input:
```
&SYSTEM
  ibrav = 0, nat = 3, ntyp = 3
/
ATOMIC_SPECIES
Hg 200.59 Hg.upf
Er 167.26 Er.upf
Nd 144.24 Nd.upf
CELL_PARAMETERS angstrom
-2.914 -0.114 -2.228
2.229 -0.291 -2.901
0.190 -6.217 3.090
ATOMIC_POSITIONS crystal
Hg 0.677 0.677 0.354
Er 0.315 0.315 0.630
Nd 0.008 0.008 0.016
```

=====

(2)
First-principles (PBE) data for a relaxed Nd4ErHg3 crystal, as listed in Alexandria via LeMat-Bulk. Values from VASP.

## Properties
Calculated formation energy ... -302 meV/atom
DOS(E_F) ... 10.98 states/eV/f.u.

Geometry as Quantum ESPRESSO input:
```
&SYSTEM
  ibrav = 0, nat = 8, ntyp = 3
/
ATOMIC_SPECIES
Nd 144.24 Nd.upf
Hg 200.59 Hg.upf
Er 167.26 Er.upf
CELL_PARAMETERS angstrom
-2.290 2.928 -0.726
-4.102 -2.553 2.647
3.164 4.850 9.580
ATOMIC_POSITIONS crystal
Nd 0.000 0.500 0.737
Nd 0.000 0.000 0.500
Nd 0.000 0.500 0.263
Nd 0.000 0.000 0.000
Hg 0.500 0.500 0.500
Hg 0.500 0.000 0.241
Hg 0.500 0.000 0.759
Er 0.500 0.500 0.000
```

=====

(3)
First-principles (PBE) data for a relaxed Nd3ErHg3 crystal, as listed in Alexandria via LeMat-Bulk. Values from VASP.

## Properties
Calculated formation energy ... -273 meV/atom
DOS(E_F) ... 5.55 states/eV/f.u.

Geometry as Quantum ESPRESSO input:
```
&SYSTEM
  ibrav = 0, nat = 14, ntyp = 3
/
ATOMIC_SPECIES
Hg 200.59 Hg.upf
Nd 144.24 Nd.upf
Er 167.26 Er.upf
CELL_PARAMETERS angstrom
-0.954 6.708 3.079
-5.200 -4.084 3.416
5.854 -2.151 4.863
ATOMIC_POSITIONS crystal
Hg 0.540 0.929 0.713
Hg 0.003 0.003 0.802
Hg 0.929 0.540 0.713
Hg 0.997 0.997 0.198
Hg 0.460 0.071 0.287
Hg 0.071 0.460 0.287
Nd 0.749 0.251 0.000
Nd 0.348 0.348 0.611
Nd 0.174 0.826 0.500
Nd 0.826 0.174 0.500
Nd 0.652 0.652 0.389
Nd 0.251 0.749 0.000
Er 0.710 0.710 0.947
Er 0.290 0.290 0.053
```

=====

(4)
First-principles (PBE) data for a relaxed Nd2Er3Hg4 crystal, as listed in Alexandria via LeMat-Bulk. Values from VASP.

## Properties
Calculated formation energy ... -356 meV/atom
DOS(E_F) ... 7.91 states/eV/f.u.

Geometry as Quantum ESPRESSO input:
```
&SYSTEM
  ibrav = 0, nat = 18, ntyp = 3
/
ATOMIC_SPECIES
Hg 200.59 Hg.upf
Nd 144.24 Nd.upf
Er 167.26 Er.upf
CELL_PARAMETERS angstrom
6.978 0.000 0.000
0.000 8.173 0.000
-3.489 0.000 8.892
ATOMIC_POSITIONS crystal
Hg 0.185 0.750 0.869
Hg 0.331 0.472 0.662
Hg 0.169 0.972 0.338
Hg 0.831 0.028 0.662
Hg 0.815 0.250 0.131
Hg 0.315 0.250 0.131
Hg 0.669 0.528 0.338
Hg 0.685 0.750 0.869
Nd 0.596 0.909 0.191
Nd 0.904 0.409 0.809
Nd 0.096 0.591 0.191
Nd 0.404 0.091 0.809
Er 0.011 0.750 0.523
Er 0.989 0.250 0.477
Er 0.000 0.000 0.000
Er 0.489 0.250 0.477
Er 0.511 0.750 0.523
Er 0.500 0.500 0.000
```